This record from the Alexandria database describes a PBEsol-optimized structure of LiGaCo2Cl. The functional is SCAN.

```
LiGaCo2Cl
1.0
-3.024 0.158 2.854
-1.496 -3.628 -1.385
2.557 -2.134 2.827
Li Co Ga Cl
1 2 1 1
Cartesian
0.000 0.000 0.000
-0.748 -1.814 -0.692
-1.512 0.079 1.427
1.279 -1.067 1.414
-0.981 -2.802 2.148
```

Properties
Formation energy without anion corrections   0.8487 eV/atom
Symmetry   P4/mmm
Size of the total moment   4.1 μB per formula unit
Calculated total energy   -57.08 eV/f.u.